Record 1
Al3Ru after structural relaxation, computed with PBE.

formation energy from the elements: -390 meV per atom
calculated volume: 230 Å³/cell
space-group type: P6_3/mmc, No. 194
total energy: -5.52 eV/atom

Cell and atoms, written as POSCAR:
```
Al3Ru
1.0
-0.759 2.611 -4.736
-2.792 1.527 4.438
6.502 5.731 2.118
Al Ru
12 4
Direct
0.500 0.500 0.500
0.500 0.000 0.500
0.000 0.500 0.500
0.500 0.500 0.000
0.500 0.000 0.000
0.000 0.500 0.000
0.836 0.672 0.250
0.328 0.164 0.250
0.836 0.164 0.250
0.164 0.328 0.750
0.672 0.836 0.750
0.164 0.836 0.750
0.000 0.000 0.500
0.000 0.000 0.000
0.333 0.667 0.250
0.667 0.333 0.750
```

---

Record 2
Sr2ZrPbBr after structural relaxation, computed with PBE.

calculated volume: 232 Å³/cell
space-group type: P4/mmm, No. 123
total energy: -3.45 eV/atom
ΔE_f (raw): 0.01 eV per atom

Cell and atoms, written as POSCAR:
```
Sr2ZrPbBr
1.0
-1.784 1.546 -5.987
-1.835 -5.231 -0.804
-5.813 1.705 2.173
Pb Sr Br Zr
1 2 1 1
Direct
0.000 0.000 0.000
0.000 0.000 0.500
0.500 0.000 0.000
0.500 0.500 0.500
0.000 0.500 0.000
```

---

Please write out number 2 again, unchanged.
Sr2ZrPbBr after structural relaxation, computed with PBE.

calculated volume: 232 Å³/cell
space-group type: P4/mmm, No. 123
total energy: -3.45 eV/atom
ΔE_f (raw): 0.01 eV per atom

Cell and atoms, written as POSCAR:
```
Sr2ZrPbBr
1.0
-1.784 1.546 -5.987
-1.835 -5.231 -0.804
-5.813 1.705 2.173
Pb Sr Br Zr
1 2 1 1
Direct
0.000 0.000 0.000
0.000 0.000 0.500
0.500 0.000 0.000
0.500 0.500 0.500
0.000 0.500 0.000
```

---

> Which value of total energy does entry 1 give?

-5.52 eV/atom